1.
Computed, not measured: a relaxed TlRe2 crystal at the GGA-PBE level of DFT.

## Properties
energy above the most stable polymorph in this dataset: 164.0 meV per atom
space group: Cmcm, No. 63

Lattice parameters (Å, degrees): 8.0384 8.0384 4.2958 90.00 90.00 151.89
Sites, in units of the cell vectors:
Tl (0.0747, 0.9253, 0.2500)
Tl (0.9253, 0.0747, 0.7500)
Re (0.3437, 0.6563, 0.2500)
Re (0.6563, 0.3437, 0.7500)
Re (0.7461, 0.2539, 0.2500)
Re (0.2539, 0.7461, 0.7500)

=====

2.
Computed, not measured: a relaxed Sc3NbCo4 crystal at the GGA-PBE level of DFT.

## Properties
space group: I4/mmm, No. 139

Lattice parameters (Å, degrees): 4.4129 4.4128 6.9690 108.48 108.46 90.00
Each line ends with the local moment (μB).
Sites, in units of the cell vectors:
Sc (0.0000, 0.5000, 0.0000)  -0.15
Sc (0.7502, 0.2502, 0.5004)  -0.14
Sc (0.2498, 0.7498, 0.4996)  -0.14
Nb (0.5000, 0.0000, 0.0000)  -0.12
Co (0.3818, 0.3817, 0.7637)  0.79
Co (0.6182, 0.6183, 0.2364)  0.79
Co (0.1182, 0.1181, 0.2363)  0.79
Co (0.8818, 0.8819, 0.7637)  0.79

=====

3.
Computed, not measured: a relaxed SrAl3Sn crystal at the GGA-PBE level of DFT.

## Properties
energy above the most stable polymorph in this dataset: 0.0 meV per atom
space group: Pm-3m, No. 221

Lattice parameters (Å, degrees): 5.3920 5.3920 5.3920 90.00 90.00 90.00
Sites, in units of the cell vectors:
Sr (0.5000, 0.5000, 0.5000)
Sn (0.0000, 0.0000, 0.0000)
Al (0.0000, 0.5000, 0.0000)
Al (0.0000, 0.0000, 0.5000)
Al (0.5000, 0.0000, 0.0000)

=====

Number 1: formation energy 705 meV per atom. Number 2: formation energy -298 meV per atom. Number 3: formation energy 438 meV per atom.